<i>
RbNa2Eu | PBE | optimized geometry

a = 4.3084 Å, b = 4.3084 Å, c = 10.7745 Å
α = 90.00°, β = 90.00°, γ = 90.00°
Sites, in units of the cell vectors:
Rb 0.0000 0.0000 0.0000
Na 0.5000 0.5000 0.2787
Na 0.5000 0.5000 0.7213
Eu 0.0000 0.0000 0.5000

Calculated values
Symmetry: No. 123
Crystal system: tetragonal

<ii>
RbNa2Eu | PBE | optimized geometry

a = 6.8017 Å, b = 6.8017 Å, c = 4.3069 Å
α = 90.00°, β = 90.00°, γ = 90.00°
Sites, in units of the cell vectors:
Rb 0.0000 0.0000 0.0000
Na 0.0000 0.5000 0.5000
Na 0.5000 0.0000 0.5000
Eu 0.5000 0.5000 0.0000

Calculated values
Symmetry: No. 123
Crystal system: tetragonal

Tell me which of them is the least stable. Sure, it is <ii>.

<i>
NaEu2Sb | PBE | optimized geometry

a = 11.5429 Å, b = 11.5429 Å, c = 11.5429 Å
α = 22.79°, β = 22.79°, γ = 22.79°
Sites, in units of the cell vectors:
Na 0.0000 0.0000 0.0000
Eu 0.1146 0.1146 0.1146
Eu 0.8854 0.8854 0.8854
Sb 0.5000 0.5000 0.5000

Calculated values
Symmetry: No. 166
Crystal system: trigonal

<ii>
NaEu2Sb | PBE | optimized geometry

a = 5.6123 Å, b = 5.6123 Å, c = 5.6123 Å
α = 60.00°, β = 60.00°, γ = 60.00°
Sites, in units of the cell vectors:
Na 0.0000 0.0000 0.0000
Eu 0.2500 0.2500 0.2500
Eu 0.7500 0.7500 0.7500
Sb 0.5000 0.5000 0.5000

Calculated values
Symmetry: No. 225
Crystal system: cubic

Tell me which of them is the least stable. Sure, it is <i>.

<i>
NaEu2Sb | PBE | optimized geometry

a = 4.1634 Å, b = 4.1634 Å, c = 8.0547 Å
α = 90.00°, β = 90.00°, γ = 90.00°
Sites, in units of the cell vectors:
Na 0.0000 0.0000 0.0000
Eu 0.5000 0.5000 0.2966
Eu 0.5000 0.5000 0.7034
Sb 0.0000 0.0000 0.5000

Calculated values
Symmetry: No. 123
Crystal system: tetragonal

<ii>
NaEu2Sb | PBE | optimized geometry

a = 5.2783 Å, b = 5.2783 Å, c = 4.5638 Å
α = 90.00°, β = 90.00°, γ = 90.00°
Sites, in units of the cell vectors:
Na 0.0000 0.0000 0.0000
Eu 0.0000 0.5000 0.5000
Eu 0.5000 0.0000 0.5000
Sb 0.5000 0.5000 0.0000

Calculated values
Symmetry: No. 123
Crystal system: tetragonal

Tell me which of them is the least stable. Sure, it is <i>.

<i>
NaEuSb2 | PBE | optimized geometry

a = 4.9731 Å, b = 4.9731 Å, c = 4.5414 Å
α = 90.00°, β = 90.00°, γ = 90.00°
Sites, in units of the cell vectors:
Na 0.0000 0.0000 0.0000
Eu 0.5000 0.5000 0.0000
Sb 0.0000 0.5000 0.5000
Sb 0.5000 0.0000 0.5000

Calculated values
Symmetry: No. 123
Crystal system: tetragonal

<ii>
NaEuSb2 | PBE | optimized geometry

a = 4.2466 Å, b = 4.2466 Å, c = 6.8933 Å
α = 90.00°, β = 90.00°, γ = 90.00°
Sites, in units of the cell vectors:
Na 0.0000 0.0000 0.0000
Eu 0.0000 0.0000 0.5000
Sb 0.5000 0.5000 0.2871
Sb 0.5000 0.5000 0.7129

Calculated values
Symmetry: No. 123
Crystal system: tetragonal

<iii>
NaEuSb2 | PBE | optimized geometry

a = 5.4819 Å, b = 5.4819 Å, c = 5.4819 Å
α = 60.00°, β = 60.00°, γ = 60.00°
Sites, in units of the cell vectors:
Na 0.0000 0.0000 0.0000
Eu 0.5000 0.5000 0.5000
Sb 0.2500 0.2500 0.2500
Sb 0.7500 0.7500 0.7500

Calculated values
Symmetry: No. 225
Crystal system: cubic

Tell me which of them is the least stable. Sure, it is <iii>.

<i>
NaEu2Sc | PBE | optimized geometry

a = 13.0507 Å, b = 13.0507 Å, c = 13.0507 Å
α = 15.35°, β = 15.35°, γ = 15.35°
Sites, in units of the cell vectors:
Na 0.0000 0.0000 0.0000
Eu 0.4187 0.4187 0.4187
Eu 0.5813 0.5813 0.5813
Sc 0.5000 0.5000 0.5000

Calculated values
Symmetry: No. 166
Crystal system: trigonal

<ii>
NaEu2Sc | PBE | optimized geometry

a = 3.6280 Å, b = 3.6280 Å, c = 10.8521 Å
α = 90.00°, β = 90.00°, γ = 90.00°
Sites, in units of the cell vectors:
Na 0.0000 0.0000 0.0000
Eu 0.5000 0.5000 0.2735
Eu 0.5000 0.5000 0.7265
Sc 0.0000 0.0000 0.5000

Calculated values
Symmetry: No. 123
Crystal system: tetragonal

Tell me which of them is the least stable. Sure, it is <i>.

<i>
NaEuSn | PBE | optimized geometry

a = 5.3588 Å, b = 5.3588 Å, c = 3.6282 Å
α = 90.00°, β = 90.00°, γ = 120.00°
Sites, in units of the cell vectors:
Na 0.0000 0.0000 0.0000
Eu 0.6667 0.3333 0.4955
Sn 0.3333 0.6667 0.9920

Calculated values
Symmetry: No. 156
Crystal system: trigonal

<ii>
NaEuSn | PBE | optimized geometry

a = 5.9961 Å, b = 5.9961 Å, c = 5.9961 Å
α = 138.70°, β = 138.70°, γ = 59.83°
Sites, in units of the cell vectors:
Na 0.0000 0.0000 0.0000
Eu 0.6879 0.6879 0.0000
Sn 0.3498 0.3498 0.0000

Calculated values
Symmetry: No. 107
Crystal system: tetragonal

Tell me which of them is the least stable. Sure, it is <ii>.

<i>
NaTbEu2 | PBE | optimized geometry

a = 12.7542 Å, b = 12.7542 Å, c = 12.7542 Å
α = 16.84°, β = 16.84°, γ = 16.84°
Sites, in units of the cell vectors:
Na 0.0000 0.0000 0.0000
Tb 0.5000 0.5000 0.5000
Eu 0.2466 0.2466 0.2466
Eu 0.7534 0.7534 0.7534

Calculated values
Symmetry: No. 166
Crystal system: trigonal

<ii>
NaTbEu2 | PBE | optimized geometry

a = 3.7152 Å, b = 3.7152 Å, c = 11.1502 Å
α = 90.00°, β = 90.00°, γ = 90.00°
Sites, in units of the cell vectors:
Na 0.0000 0.0000 0.0000
Tb 0.0000 0.0000 0.5000
Eu 0.5000 0.5000 0.2627
Eu 0.5000 0.5000 0.7373

Calculated values
Symmetry: No. 123
Crystal system: tetragonal

<iii>
NaTbEu2 | PBE | optimized geometry

a = 6.1985 Å, b = 6.1985 Å, c = 3.9040 Å
α = 90.00°, β = 90.00°, γ = 90.00°
Sites, in units of the cell vectors:
Na 0.0000 0.0000 0.0000
Tb 0.5000 0.5000 0.0000
Eu 0.0000 0.5000 0.5000
Eu 0.5000 0.0000 0.5000

Calculated values
Symmetry: No. 123
Crystal system: tetragonal

Tell me which of them is the least stable. Sure, it is <iii>.

<i>
NaEu2Th | PBE | optimized geometry

a = 13.6647 Å, b = 13.6647 Å, c = 13.6647 Å
α = 14.90°, β = 14.90°, γ = 14.90°
Sites, in units of the cell vectors:
Na 0.0000 0.0000 0.0000
Eu 0.4143 0.4143 0.4143
Eu 0.5857 0.5857 0.5857
Th 0.5000 0.5000 0.5000

Calculated values
Symmetry: No. 166
Crystal system: trigonal

<ii>
NaEu2Th | PBE | optimized geometry

a = 3.6484 Å, b = 3.6484 Å, c = 11.2248 Å
α = 90.00°, β = 90.00°, γ = 90.00°
Sites, in units of the cell vectors:
Na 0.0000 0.0000 0.0000
Eu 0.5000 0.5000 0.2673
Eu 0.5000 0.5000 0.7327
Th 0.0000 0.0000 0.5000

Calculated values
Symmetry: No. 123
Crystal system: tetragonal

Tell me which of them is the least stable. Sure, it is <i>.